# 1
# Tm6GaSb2 | Alexandria via LeMat-Bulk | GGA-PBE | optimized geometry
data_Tm6GaSb2
_symmetry_space_group_name_H-M 'P 42/m n m'
_symmetry_Int_Tables_number 136
_symmetry_space_group_name_Hall '-P 4n 2n'
_cell_length_a 6.791
_cell_length_b 6.791
_cell_length_c 13.063
_cell_angle_alpha 90.00
_cell_angle_beta 90.00
_cell_angle_gamma 90.00
loop_
_atom_site_label
_atom_site_type_symbol
_atom_site_fract_x
_atom_site_fract_y
_atom_site_fract_z
Tm1 Tm 0.195 0.195 0.157
Tm2 Tm 0.213 0.213 0.500
Ga1 Ga 0.000 0.000 0.000
Sb1 Sb 0.000 0.000 0.334
# - V (Å³/atom) = 33.47
# - ΔE_f (raw) (meV/atom) = -206
# - magnetization (μB/f.u.) = 0.00

# 2
# Hf2MgZnRh4 | Alexandria via LeMat-Bulk | GGA-PBE | optimized geometry
data_Hf2MgZnRh4
_symmetry_space_group_name_H-M 'R -3 m'
_symmetry_Int_Tables_number 166
_symmetry_space_group_name_Hall '-R 3 2"'
_cell_length_a 4.4683
_cell_length_b 4.4683
_cell_length_c 21.9182
_cell_angle_alpha 90.00
_cell_angle_beta 90.00
_cell_angle_gamma 120.00
loop_
_atom_site_label
_atom_site_type_symbol
_atom_site_fract_x
_atom_site_fract_y
_atom_site_fract_z
Hf1 Hf 0.0000 0.0000 0.2484
Mg1 Mg 0.0000 0.0000 0.0000
Zn1 Zn 0.0000 0.0000 0.5000
Rh1 Rh 0.0000 0.0000 0.1251
Rh2 Rh 0.0000 0.0000 0.3752
# - calculated formation energy (eV/atom) = -0.866
# - V (Å³/atom) = 15.79
# - magnetization (μB/f.u.) = 0.00

# 3
# Cd5Te3 | Alexandria via LeMat-Bulk | GGA-PBE | optimized geometry
data_Cd5Te3
_symmetry_space_group_name_H-M 'C m m m'
_symmetry_Int_Tables_number 65
_symmetry_space_group_name_Hall '-C 2 2'
_cell_length_a 7.061
_cell_length_b 11.668
_cell_length_c 5.346
_cell_angle_alpha 90.00
_cell_angle_beta 90.00
_cell_angle_gamma 90.00
loop_
_atom_site_label
_atom_site_type_symbol
_atom_site_fract_x
_atom_site_fract_y
_atom_site_fract_z
Cd1 Cd 0.000 0.000 0.000
Cd2 Cd 0.218 0.500 0.500
Cd3 Cd 0.250 0.250 0.000
Te1 Te 0.000 0.190 0.500
Te2 Te 0.000 0.500 0.000
# - V (Å³/atom) = 27.53
# - ΔE_f (raw) (meV/atom) = -40
# - magnetization (μB/f.u.) = 0.00
# - energy above the lowest structure with this stoichiometry (kJ/mol of formula units) = 111